First-principles (PBE) data for a geometry-optimized LaH3Pd structure, as listed in the Alexandria database.

Computed properties:
For the total energy, the calculation gives -0.330 Ry per atom. As for the calculated density: 6.86 g cm⁻³. As for the crystal system: monoclinic. The value obtained for the size of the total moment is 0.000 μB per atom. As for the space-group type: C2/m (12). The value obtained for the density of states at the Fermi level is 0.267 states/eV/atom.

Cell: 15.310 6.646 6.646 Å, 146.61 155.02 24.98°
Sites, in units of the cell vectors:
H: 0.888 0.433 0.567
H: 0.463 0.733 0.267
H: 0.112 0.567 0.433
H: 0.813 0.162 0.838
H: 0.187 0.838 0.162
H: 0.537 0.267 0.733
Pd: 0.124 0.041 0.959
Pd: 0.876 0.959 0.041
La: 0.692 0.918 0.082
La: 0.308 0.082 0.918